# 1
Here is crystalline Cs3ZnI5 at its relaxed geometry from the Open Quantum Materials Database. Energies are from PBE.

VASP energy: -2.55 eV/atom
calculated density: 4.0 g/cm3

Cell: 10.2419 15.0870 11.8178 Å, 90.00 90.00 90.00°
Atoms (fractional coordinates):
Cs 0.4168 0.6731 0.0157
Cs 0.9168 0.8269 0.0157
Cs 0.9150 0.5483 0.2500
Cs 0.4150 0.9517 0.2500
Cs 0.4168 0.6731 0.4843
Cs 0.9168 0.8269 0.4843
Cs 0.0832 0.1731 0.5157
Cs 0.5832 0.3269 0.5157
Cs 0.5850 0.0483 0.7500
Cs 0.0850 0.4517 0.7500
Cs 0.0832 0.1731 0.9843
Cs 0.5832 0.3269 0.9843
I 0.6888 0.0627 0.0626
I 0.1888 0.4373 0.0626
I 0.0327 0.0113 0.2500
I 0.3634 0.2228 0.2500
I 0.8634 0.2772 0.2500
I 0.5327 0.4887 0.2500
I 0.1671 0.7386 0.2500
I 0.6671 0.7614 0.2500
I 0.6888 0.0627 0.4374
I 0.1888 0.4373 0.4374
I 0.8112 0.5627 0.5626
I 0.3112 0.9373 0.5626
I 0.3329 0.2386 0.7500
I 0.8329 0.2614 0.7500
I 0.4673 0.5113 0.7500
I 0.1366 0.7228 0.7500
I 0.6366 0.7772 0.7500
I 0.9673 0.9887 0.7500
I 0.8112 0.5627 0.9374
I 0.3112 0.9373 0.9374
Zn 0.8131 0.1058 0.2500
Zn 0.3131 0.3942 0.2500
Zn 0.6869 0.6058 0.7500
Zn 0.1869 0.8942 0.7500



# 2
Here is crystalline LuMgIrPb at its relaxed geometry from the Open Quantum Materials Database. Energies are from PBE.

VASP energy: -4.92 eV/atom
energy relative to the lowest polymorph listed for this composition: 0.036 eV/atom
calculated density: 12.4 g/cm3

Cell: 4.8429 4.8429 4.8429 Å, 60.00 60.00 60.00°
Atoms (fractional coordinates):
Ir 0.2500 0.2500 0.2500
Lu 0.0000 0.0000 0.0000
Mg 0.7500 0.7500 0.7500
Pb 0.5000 0.5000 0.5000



# 3
Here is crystalline Sr2Ag2Bi at its relaxed geometry from the Open Quantum Materials Database. Energies are from PBE.

VASP energy: -2.72 eV/atom
calculated density: 6.2 g/cm3

Cell: 5.2837 5.2837 6.8469 Å, 112.70 112.70 90.00°
Atoms (fractional coordinates):
Ag 0.6117 0.6117 0.2234
Ag 0.3883 0.3883 0.7766
Bi 0.0000 0.0000 0.0000
Sr 0.7500 0.2500 0.5000
Sr 0.2500 0.7500 0.5000



# 4
Here is crystalline PrNi2Pt at its relaxed geometry from the Open Quantum Materials Database. Energies are from PBE.

VASP energy: -6.02 eV/atom
energy of formation from the pure elements: -527.8 meV/atom
calculated density: 11.2 g/cm3

Cell: 9.0841 9.0841 9.0841 Å, 33.32 33.32 33.32°
Last column: magnetic moment on the atom in μB.
Atoms (fractional coordinates):
Ni 0.5839 0.5839 0.0805  -0.15
Ni 0.9195 0.4161 0.4161  -0.14
Ni 0.4161 0.9195 0.4161  -0.17
Ni 0.5839 0.0805 0.5839  -0.17
Ni 0.0805 0.5839 0.5839  -0.14
Ni 0.4161 0.4161 0.9195  -0.15
Pr 0.0000 0.0000 0.0000  0.01
Pr 0.1381 0.1381 0.1381  0.02
Pr 0.8619 0.8619 0.8619  0.02
Pt 0.3327 0.3327 0.3327  -0.06
Pt 0.5000 0.5000 0.5000  -0.03
Pt 0.6673 0.6673 0.6673  -0.06



# 5
Here is crystalline Si2Pd9 at its relaxed geometry from the Open Quantum Materials Database. Energies are from PBE.

VASP energy: -5.51 eV/atom
energy relative to the lowest polymorph listed for this composition: 0.163 eV/atom
calculated density: 9.8 g/cm3

Cell: 7.6547 7.6547 7.6547 Å, 109.47 109.47 109.47°
Atoms (fractional coordinates):
Pd 0.2473 0.2473 0.0000
Pd 0.6397 0.2725 0.0000
Pd 0.2725 0.6397 0.0000
Pd 0.7527 0.7527 0.0000
Pd 0.2473 0.0000 0.2473
Pd 0.0000 0.2473 0.2473
Pd 0.6397 0.0000 0.2725
Pd 0.0000 0.6397 0.2725
Pd 0.6328 0.3603 0.3603
Pd 0.3603 0.6328 0.3603
Pd 0.7275 0.7275 0.3672
Pd 0.3603 0.3603 0.6328
Pd 0.2725 0.0000 0.6397
Pd 0.0000 0.2725 0.6397
Pd 0.7275 0.3672 0.7275
Pd 0.3672 0.7275 0.7275
Pd 0.7527 0.0000 0.7527
Pd 0.0000 0.7527 0.7527
Si 0.3784 0.0000 0.0000
Si 0.0000 0.3784 0.0000
Si 0.0000 0.0000 0.3784
Si 0.6216 0.6216 0.6216



# 6
Here is crystalline TaAl5 at its relaxed geometry from the Open Quantum Materials Database. Energies are from PBE.

VASP energy: -5.07 eV/atom
energy relative to the lowest polymorph listed for this composition: 0.094 eV/atom
calculated density: 5.4 g/cm3

Cell: 5.1949 5.1949 16.6482 Å, 90.00 90.00 120.00°
Atoms (fractional coordinates):
Al 0.5000 0.0000 0.0000
Al 0.0000 0.5000 0.0000
Al 0.5000 0.5000 0.0000
Al 0.0000 0.0000 0.0978
Al 0.3333 0.6667 0.1261
Al 0.1617 0.3235 0.2500
Al 0.1617 0.8383 0.2500
Al 0.6765 0.8383 0.2500
Al 0.3333 0.6667 0.3739
Al 0.0000 0.0000 0.4022
Al 0.5000 0.0000 0.5000
Al 0.0000 0.5000 0.5000
Al 0.5000 0.5000 0.5000
Al 0.0000 0.0000 0.5978
Al 0.6667 0.3333 0.6261
Al 0.3235 0.1617 0.7500
Al 0.8383 0.1617 0.7500
Al 0.8383 0.6765 0.7500
Al 0.6667 0.3333 0.8739
Al 0.0000 0.0000 0.9022
Ta 0.6667 0.3333 0.1471
Ta 0.6667 0.3333 0.3529
Ta 0.3333 0.6667 0.6471
Ta 0.3333 0.6667 0.8529



# 7
Here is crystalline DyEr2Zn3InGa2 at its relaxed geometry from the Open Quantum Materials Database. Energies are from PBE.

VASP energy: -3.43 eV/atom
calculated density: 8.5 g/cm3

Cell: 4.3753 7.0080 7.0080 Å, 120.12 90.00 90.00°
Atoms (fractional coordinates):
Dy 0.0000 0.5568 0.5568
Er 0.0000 0.9995 0.4431
Er 0.0000 0.4431 0.9995
Ga 0.5000 0.6673 0.3323
Ga 0.5000 0.3323 0.6673
In 0.0000 0.0014 0.0014
Zn 0.5000 0.7456 0.0000
Zn 0.5000 0.2540 0.2540
Zn 0.5000 0.0000 0.7456



# 8
Here is crystalline LuCo2Sn at its relaxed geometry from the Open Quantum Materials Database. Energies are from PBE.

VASP energy: -5.58 eV/atom
calculated density: 10.0 g/cm3

Cell: 4.5841 4.5841 4.5841 Å, 60.00 60.00 60.00°
Last column: magnetic moment on the atom in μB.
Atoms (fractional coordinates):
Co 0.0000 0.0000 0.0000  1.64
Co 0.7500 0.7500 0.7500  1.28
Lu 0.2500 0.2500 0.2500  -0.10
Sn 0.5000 0.5000 0.5000  0.03